No. 1
First-principles (GGA-PBE) data for an optimized crystal structure of ReMoW4, as listed in Alexandria via LeMat-Bulk.

Lattice parameters (Å, degrees): 4.643 5.156 5.156 89.54 90.00 90.00
Positions (direct):
W: 0.000 0.830 0.830
W: 0.500 0.669 0.331
W: 0.500 0.331 0.669
Mo: 0.500 0.000 0.000
Re: 0.000 0.500 0.500
W: 0.000 0.170 0.170

Output
relative energy among the computed polymorphs	847	kJ/mol of formula units
crystal system	orthorhombic
E_tot	-63.6	eV for the cell shown
energy relative to the elements	1.917	eV per atom
density	13.69	g/cm³

---

No. 2
First-principles (GGA-PBE) data for an optimized crystal structure of Li2Cu5F12, as listed in Alexandria via LeMat-Bulk.

Lattice parameters (Å, degrees): 5.518 6.550 6.510 102.15 115.08 90.00
Positions (direct):
Cu: 0.314 0.172 0.627
Cu: 0.662 0.337 0.325
F: 0.559 0.876 0.644
F: 0.981 0.209 0.962
Li: 0.769 0.000 0.000
F: 0.085 0.876 0.644
F: 0.441 0.124 0.356
F: 0.522 0.810 0.045
F: 0.122 0.457 0.720
Cu: 0.000 0.500 0.000
Cu: 0.686 0.828 0.373
F: 0.598 0.457 0.720
F: 0.915 0.124 0.356
F: 0.478 0.190 0.955
F: 0.878 0.543 0.280
Cu: 0.338 0.663 0.675
F: 0.402 0.543 0.280
F: 0.019 0.791 0.038
Li: 0.231 0.000 0.000

Output
relative energy among the computed polymorphs	92	kJ/mol of formula units
crystal system	monoclinic
formation energy (no corrections)	-1.745	eV per atom
E_tot	-79.9	eV for the cell shown
density	4.48	g/cm³

---

No. 3
First-principles (GGA-PBE) data for an optimized crystal structure of La2MgAl3Hg4, as listed in Alexandria via LeMat-Bulk.

Lattice parameters (Å, degrees): 4.575 4.575 11.286 90.00 90.00 90.00
Positions (direct):
La: 0.000 0.500 0.761
Hg: 0.000 0.500 0.362
Al: 0.000 0.000 0.500
La: 0.500 0.000 0.239
Mg: 0.500 0.500 0.500
Hg: 0.500 0.000 0.638
Al: 0.000 0.500 0.133
Hg: 0.000 0.000 0.000
Hg: 0.500 0.500 0.000
Al: 0.500 0.000 0.867

Output
crystal system	tetragonal
E_tot	-27.8	eV for the cell shown
energy relative to the elements	-0.391	eV per atom
density	8.33	g/cm³

---

No. 4
First-principles (GGA-PBE) data for an optimized crystal structure of HoEr2Ti, as listed in Alexandria via LeMat-Bulk.

Lattice parameters (Å, degrees): 4.761 4.756 4.756 90.00 90.00 90.00
Positions (direct):
Ti: 0.500 0.000 0.000
Er: 0.000 0.000 0.500
Ho: 0.500 0.500 0.500
Er: 0.000 0.500 0.000

Output
relative energy among the computed polymorphs	15	kJ/mol of formula units
crystal system	tetragonal
E_tot	-20.8	eV for the cell shown
energy relative to the elements	0.194	eV per atom
density	8.44	g/cm³

---

No. 5
First-principles (GGA-PBE) data for an optimized crystal structure of KNaMnCl2, as listed in Alexandria via LeMat-Bulk.

Lattice parameters (Å, degrees): 5.471 5.471 5.578 90.00 90.00 90.00
Positions (direct):
Cl: 0.000 0.500 0.000
Na: 0.000 0.000 0.000
Mn: 0.000 0.000 0.500
Cl: 0.500 0.000 0.000
K: 0.500 0.500 0.500

Output
crystal system	tetragonal
formation energy (no corrections)	-0.481	eV per atom
E_tot	-17.7	eV for the cell shown
density	1.87	g/cm³

---

No. 6
First-principles (GGA-PBE) data for an optimized crystal structure of TbZnF4, as listed in Alexandria via LeMat-Bulk.

Lattice parameters (Å, degrees): 6.058 6.058 5.041 126.93 126.93 90.00
Positions (direct):
F: 0.300 0.201 0.005
Tb: 0.750 0.250 0.500
Zn: 0.500 0.500 0.000
F: 0.195 0.700 0.995
F: 0.799 0.295 0.995
F: 0.705 0.805 0.005

Output
crystal system	tetragonal
formation energy (no corrections)	-2.812	eV per atom
E_tot	-30.3	eV for the cell shown
density	5.11	g/cm³

---

No. 7
First-principles (GGA-PBE) data for an optimized crystal structure of BaTl2Rh, as listed in Alexandria via LeMat-Bulk.

Lattice parameters (Å, degrees): 5.791 5.791 5.791 134.71 119.40 78.80
Positions (direct):
Tl: 0.960 0.960 0.000
Rh: 0.784 0.284 0.500
Tl: 0.229 0.729 0.500
Ba: 0.526 0.526 0.000

Output
crystal system	orthorhombic
E_tot	-14.0	eV for the cell shown
energy relative to the elements	0.002	eV per atom
density	9.24	g/cm³

---

No. 8
First-principles (GGA-PBE) data for an optimized crystal structure of SrCa2Ta, as listed in Alexandria via LeMat-Bulk.

Lattice parameters (Å, degrees): 12.266 12.266 12.266 16.48 16.48 16.48
Positions (direct):
Ta: 0.750 0.750 0.750
Ca: 0.487 0.487 0.487
Ca: 0.013 0.013 0.013
Sr: 0.250 0.250 0.250

Output
relative energy among the computed polymorphs	17	kJ/mol of formula units
crystal system	trigonal
E_tot	-14.9	eV for the cell shown
energy relative to the elements	0.665	eV per atom
density	4.47	g/cm³

---

No. 9
First-principles (GGA-PBE) data for an optimized crystal structure of LiGa2IrO6, as listed in Alexandria via LeMat-Bulk.

Lattice parameters (Å, degrees): 5.847 6.841 6.841 78.36 72.56 72.56
Positions (direct):
Ir: 0.250 0.914 0.086
Ga: 0.258 0.786 0.626
O: 0.368 0.187 0.007
Ga: 0.758 0.626 0.786
O: 0.779 0.352 0.920
O: 0.591 0.696 0.590
O: 0.091 0.590 0.696
O: 0.279 0.920 0.352
O: 0.721 0.080 0.648
O: 0.409 0.304 0.410
Li: 0.250 0.290 0.710
O: 0.132 0.993 0.813
O: 0.221 0.648 0.080
Ga: 0.742 0.214 0.374
Ir: 0.750 0.086 0.914
Ga: 0.242 0.374 0.214
O: 0.632 0.813 0.993
O: 0.909 0.410 0.304
Li: 0.750 0.710 0.290
O: 0.868 0.007 0.187

Output
crystal system	monoclinic
formation energy (no corrections)	-1.349	eV per atom
E_tot	-120.1	eV for the cell shown
density	5.84	g/cm³

---

No. 10
First-principles (GGA-PBE) data for an optimized crystal structure of Nd3Mg7Cu4, as listed in Alexandria via LeMat-Bulk.

Lattice parameters (Å, degrees): 4.385 8.433 9.253 71.24 76.29 74.93
Positions (direct):
Mg: 0.167 0.597 0.070
Cu: 0.335 0.564 0.765
Mg: 0.000 0.000 0.000
Mg: 0.322 0.841 0.516
Mg: 0.833 0.403 0.930
Mg: 0.678 0.159 0.484
Cu: 0.114 0.097 0.674
Mg: 0.488 0.230 0.794
Nd: 0.693 0.821 0.793
Nd: 0.307 0.179 0.207
Nd: 0.000 0.500 0.500
Cu: 0.665 0.436 0.235
Cu: 0.886 0.903 0.326
Mg: 0.512 0.770 0.206

Output
crystal system	monoclinic
E_tot	-43.6	eV for the cell shown
energy relative to the elements	-0.124	eV per atom
density	4.61	g/cm³

---

No. 11
First-principles (GGA-PBE) data for an optimized crystal structure of Ba10Na2Pd3, as listed in Alexandria via LeMat-Bulk.

Lattice parameters (Å, degrees): 9.077 12.299 15.704 110.79 106.80 90.00
Positions (direct):
Ba: 0.365 0.052 0.225
Na: 0.734 0.310 0.469
Ba: 0.896 0.451 0.285
Ba: 0.237 0.296 0.474
Ba: 0.983 0.808 0.966
Ba: 0.859 0.052 0.225
Ba: 0.870 0.253 0.740
Ba: 0.500 0.000 0.500
Pd: 0.073 0.472 0.146
Ba: 0.760 0.500 0.000
Ba: 0.130 0.747 0.260
Pd: 0.181 0.026 0.362
Ba: 0.611 0.549 0.715
Pd: 0.255 0.000 0.000
Ba: 0.141 0.948 0.775
Ba: 0.017 0.192 0.034
Na: 0.625 0.743 0.250
Ba: 0.240 0.500 0.000
Ba: 0.635 0.948 0.775
Ba: 0.512 0.189 0.025
Pd: 0.745 0.000 0.000
Na: 0.375 0.257 0.750
Ba: 0.389 0.451 0.285
Ba: 0.000 0.000 0.500
Ba: 0.488 0.811 0.975
Ba: 0.763 0.704 0.526
Na: 0.266 0.690 0.531
Pd: 0.819 0.974 0.638
Ba: 0.104 0.549 0.715
Pd: 0.927 0.528 0.854

Output
crystal system	monoclinic
E_tot	-82.5	eV for the cell shown
energy relative to the elements	-0.255	eV per atom
density	3.70	g/cm³